1.
Compound: TeRhBr3
Source: Alexandria
Functional: PBEsol
Structure: relaxed

E_tot: -2.595 eV/atom
E_form (uncorrected): 0.860 eV/atom
DOS at the Fermi energy: 11.18 states/eV/cell
magnetic moment: 1.58 μB/f.u.
crystal system: cubic

Unit cell a=5.539 b=5.539 c=5.539 alpha=90.00 beta=90.00 gamma=90.00
Element x y z (fractional)
Br  0.000  0.500  0.000
Br  0.500  0.000  0.000
Br  0.000  0.000  0.500
Rh  0.500  0.500  0.500
Te  0.000  0.000  0.000

***

2.
Compound: ZnFe3
Source: Alexandria
Functional: PBEsol
Structure: relaxed

ΔH_f (0 K): 61 meV per atom
E_tot: -7.057 eV/atom
DOS at the Fermi energy: 11.56 states/eV/cell
magnetic moment: 6.52 μB/f.u.
crystal system: orthorhombic

Unit cell a=3.938 b=5.781 c=8.004 alpha=90.00 beta=90.00 gamma=90.00
Element x y z (fractional)
Fe  0.250  0.379  0.496
Fe  0.250  0.879  0.996
Fe  0.250  0.642  0.250
Fe  0.750  0.621  0.996
Fe  0.750  0.121  0.004
Fe  0.750  0.121  0.496
Fe  0.750  0.621  0.504
Fe  0.750  0.858  0.250
Fe  0.250  0.379  0.004
Fe  0.750  0.358  0.750
Fe  0.250  0.142  0.750
Fe  0.250  0.879  0.504
Zn  0.250  0.116  0.250
Zn  0.750  0.884  0.750
Zn  0.250  0.616  0.750
Zn  0.750  0.384  0.250

***

3.
Compound: CaBe3
Source: Alexandria
Functional: PBEsol
Structure: relaxed

ΔH_f (0 K): 900 meV per atom
E_tot: -2.634 eV/atom
DOS at the Fermi energy: 1.72 states/eV/cell
magnetic moment: 0.00 μB/f.u.
crystal system: orthorhombic

Unit cell a=2.535 b=4.903 c=4.903 alpha=110.90 beta=90.00 gamma=90.00
Element x y z (fractional)
Ca  0.000  0.000  0.000
Be  0.000  0.500  0.500
Be  0.500  0.500  0.000
Be  0.500  0.000  0.500